A relaxed Cs2TcICl5 crystal. Source: the Alexandria database, functional GGA-PBE.

Cell and atoms, written as POSCAR:
```
Cs2TcICl5
1.0
-1.742 5.652 4.784
-0.984 -7.152 2.398
7.328 -1.110 -1.715
Cl Cs Tc I
5 2 1 1
direct
0.000 0.233 0.233
0.431 0.218 0.218
0.000 0.218 0.788
0.000 0.788 0.218
0.569 0.788 0.788
0.500 0.255 0.755
0.500 0.755 0.255
0.000 0.004 0.004
0.000 0.741 0.741
```

Computed properties:
Formation energy (no corrections) in eV per atom: -1.2806
Total energy in eV/atom: -3.82

A relaxed CsTe2ICl crystal. Source: the Alexandria database, functional GGA-PBE.

Cell and atoms, written as POSCAR:
```
CsTe2ICl
1.0
5.423 0.000 0.000
0.000 5.423 0.000
0.000 0.000 7.932
Te Cs Cl I
2 1 1 1
direct
0.000 0.500 0.000
0.500 0.000 0.000
0.500 0.500 0.500
0.000 0.000 0.000
0.000 0.000 0.500
```

Computed properties:
Formation energy (no corrections) in eV per atom: -0.1699
Fermi-level density of states in states/eV per atom: 1.332
Total energy in eV/atom: -2.28

A relaxed Cs6TeI3Cl2 crystal. Source: the Alexandria database, functional GGA-PBE.

Cell and atoms, written as POSCAR:
```
Cs6TeI3Cl2
1.0
5.303 0.000 0.000
0.000 10.926 0.545
-2.652 -2.985 11.260
I Cl Te Cs
3 2 1 6
direct
0.161 0.835 0.322
0.500 0.500 0.000
0.839 0.165 0.678
0.172 0.344 0.344
0.828 0.656 0.656
0.500 0.000 0.000
0.013 0.260 0.026
0.671 0.110 0.341
0.987 0.740 0.974
0.328 0.427 0.656
0.672 0.573 0.344
0.329 0.890 0.659
```

Computed properties:
Formation energy (no corrections) in eV per atom: -1.4847
Fermi-level density of states in states/eV per atom: 0.482
Total energy in eV/atom: -2.87

A relaxed Cs2TeI2Cl4 crystal. Source: the Alexandria database, functional GGA-PBE.

Cell and atoms, written as POSCAR:
```
Cs2TeI2Cl4
1.0
7.926 0.048 0.069
-3.763 6.976 -0.069
-3.763 -2.515 6.507
Cs Cl I Te
2 4 2 1
direct
0.500 0.250 0.750
0.500 0.750 0.250
0.000 0.223 0.777
0.554 0.777 0.777
0.446 0.223 0.223
0.000 0.777 0.223
0.000 0.273 0.273
0.000 0.727 0.727
0.000 0.000 0.000
```

Computed properties:
Formation energy (no corrections) in eV per atom: -1.1388
Fermi-level density of states in states/eV per atom: 0.000
Total energy in eV/atom: -2.84

A relaxed CsTeICl2 crystal. Source: the Alexandria database, functional GGA-PBE.

Cell and atoms, written as POSCAR:
```
CsTeICl2
1.0
5.848 0.000 0.000
0.000 5.811 0.000
0.000 0.000 5.848
Te Cl I Cs
1 2 1 1
direct
0.000 0.500 0.000
0.000 0.000 0.500
0.500 0.000 0.000
0.000 0.000 0.000
0.500 0.500 0.500
```

Computed properties:
Formation energy (no corrections) in eV per atom: -0.5123
ΔE to the lowest computed polymorph in eV/atom: 0.356
Fermi-level density of states in states/eV per atom: 0.543
Total energy in eV/atom: -2.36

A relaxed Cs2TeI4Cl2 crystal. Source: the Alexandria database, functional GGA-PBE.

Cell and atoms, written as POSCAR:
```
Cs2TeI4Cl2
1.0
-7.726 -2.557 2.414
-5.022 -4.077 -5.237
-1.657 -8.048 1.326
I Cs Te Cl
4 2 1 2
direct
0.274 0.230 0.729
0.726 0.271 0.770
0.726 0.770 0.271
0.274 0.729 0.230
0.780 0.248 0.248
0.220 0.752 0.752
0.500 0.000 0.000
0.237 0.222 0.222
0.763 0.778 0.778
```

Computed properties:
Formation energy (no corrections) in eV per atom: -0.9710
Fermi-level density of states in states/eV per atom: 0.000
Total energy in eV/atom: -2.61

A relaxed Cs2TeI6Cl crystal. Source: the Alexandria database, functional GGA-PBE.

Cell and atoms, written as POSCAR:
```
Cs2TeI6Cl
1.0
9.186 0.000 0.000
0.000 9.186 0.000
4.593 4.593 5.751
I Te Cs Cl
6 1 2 1
direct
0.260 0.260 0.479
0.771 0.771 0.000
0.771 0.229 0.000
0.740 0.740 0.521
0.229 0.229 0.000
0.229 0.771 0.000
0.000 0.000 0.000
0.750 0.250 0.500
0.250 0.750 0.500
0.500 0.500 0.000
```

Computed properties:
Formation energy (no corrections) in eV per atom: -0.7185
Fermi-level density of states in states/eV per atom: 0.168
Total energy in eV/atom: -2.32

A relaxed CsTeICl2 crystal. Source: the Alexandria database, functional GGA-PBE.

Cell and atoms, written as POSCAR:
```
CsTeICl2
1.0
5.616 0.000 0.000
0.000 5.616 0.000
0.000 0.000 6.259
I Cl Cs Te
1 2 1 1
direct
0.000 0.000 0.500
0.500 0.000 0.000
0.000 0.500 0.000
0.500 0.500 0.500
0.000 0.000 0.000
```

Computed properties:
Formation energy (no corrections) in eV per atom: -0.8682
ΔE to the lowest computed polymorph in eV/atom: 0.000
Fermi-level density of states in states/eV per atom: 0.562
Total energy in eV/atom: -2.72

A relaxed Cs2TeICl6 crystal. Source: the Alexandria database, functional GGA-PBE.

Cell and atoms, written as POSCAR:
```
Cs2TeICl6
1.0
-4.586 5.982 4.144
-7.211 -3.077 -3.538
-6.516 -1.930 4.502
Cs Cl I Te
2 6 1 1
direct
0.750 0.250 0.500
0.250 0.750 0.500
0.289 0.711 0.000
0.289 0.289 0.000
0.711 0.711 0.000
0.258 0.258 0.485
0.742 0.742 0.515
0.711 0.289 0.000
0.000 0.000 0.000
0.500 0.500 0.000
```

Computed properties:
Formation energy (no corrections) in eV per atom: -1.0623
Fermi-level density of states in states/eV per atom: 0.174
Total energy in eV/atom: -2.81

A relaxed Cs2ThI5Cl crystal. Source: the Alexandria database, functional GGA-PBE.

Cell and atoms, written as POSCAR:
```
Cs2ThI5Cl
1.0
-2.463 -4.917 -6.582
4.372 -3.637 6.420
-6.006 3.051 5.309
Cs I Cl Th
2 5 1 1
direct
0.500 0.746 0.246
0.500 0.246 0.746
0.000 0.248 0.749
0.499 0.248 0.248
0.000 0.749 0.248
0.000 0.252 0.252
0.501 0.749 0.749
0.000 0.770 0.770
0.000 0.993 0.993
```

Computed properties:
Formation energy (no corrections) in eV per atom: -1.5486
Fermi-level density of states in states/eV per atom: 0.000
Total energy in eV/atom: -3.63

A relaxed Cs2ThI2Cl4 crystal. Source: the Alexandria database, functional GGA-PBE.

Cell and atoms, written as POSCAR:
```
Cs2ThI2Cl4
1.0
-7.900 -1.179 -1.901
2.662 -1.504 7.620
3.024 7.620 0.457
Cl I Cs Th
4 2 2 1
direct
0.539 0.770 0.770
0.461 0.230 0.230
0.000 0.770 0.230
0.000 0.230 0.770
0.000 0.732 0.732
0.000 0.268 0.268
0.500 0.250 0.750
0.500 0.750 0.250
0.000 0.000 0.000
```

Computed properties:
Formation energy (no corrections) in eV per atom: -1.9165
Fermi-level density of states in states/eV per atom: 0.000
Total energy in eV/atom: -4.10

A relaxed Cs2TiI2Cl4 crystal. Source: the Alexandria database, functional GGA-PBE.

Cell and atoms, written as POSCAR:
```
Cs2TiI2Cl4
1.0
-1.448 4.125 -6.410
-5.768 -1.007 5.091
4.747 3.050 5.326
Cl I Cs Ti
4 2 2 1
direct
0.417 0.209 0.209
0.000 0.791 0.209
0.583 0.791 0.791
0.000 0.209 0.791
0.000 0.736 0.736
0.000 0.264 0.264
0.500 0.250 0.750
0.500 0.750 0.250
0.000 0.000 0.000
```

Computed properties:
Formation energy (no corrections) in eV per atom: -1.5946
Total energy in eV/atom: -3.83